1.
Ta2Nb2Au: optimized geometry, PBE.

Offset from the most stable computed form (meV per atom): 0
E (eV for the cell shown): -91.9
DFT formation energy (eV per atom): 0.23

Cell: 6.8321 4.4347 7.7923 Å, 73.38 116.00 90.00°
With the nearest neighbours (Å) after each atom.
Positions (direct):
Au 0.3452 0.2500 0.0000  2 Ta 2.75, 6 Nb 2.88-3.06, 2 Au 3.06
Au 0.6548 0.7500 0.0000  2 Ta 2.75, 6 Nb 2.88-3.06, 2 Au 3.06
Nb 0.4748 0.4079 0.6837  3 Ta 2.80-2.85, 3 Nb 2.87-2.92, 3 Au 2.88-3.06
Nb 0.2090 0.9079 0.6837  3 Ta 2.80-2.85, 3 Nb 2.87-2.92, 3 Au 2.88-3.06
Nb 0.5252 0.5921 0.3163  3 Ta 2.80-2.85, 3 Nb 2.87-2.92, 3 Au 2.88-3.06
Nb 0.7910 0.0921 0.3163  3 Ta 2.80-2.85, 3 Nb 2.87-2.92, 3 Au 2.88-3.06
Ta 0.9477 0.4203 0.6586  3 Ta 2.74-2.77, 1 Au 2.75, 3 Nb 2.80-2.85
Ta 0.7109 0.9203 0.6586  3 Ta 2.74-2.77, 1 Au 2.75, 3 Nb 2.80-2.85
Ta 0.0523 0.5797 0.3414  3 Ta 2.74-2.77, 1 Au 2.75, 3 Nb 2.80-2.85
Ta 0.2891 0.0797 0.3414  3 Ta 2.74-2.77, 1 Au 2.75, 3 Nb 2.80-2.85



2.
Ta6Nb3Au: optimized geometry, PBE.

E (eV for the cell shown): -210.0
DFT formation energy (eV per atom): -0.04

Cell: 4.7528 8.0536 9.9254 Å, 107.15 90.00 90.00°
With the nearest neighbours (Å) after each atom.
Positions (direct):
Nb 0.7500 0.4461 0.5974  8 Ta 2.82-2.93
Nb 0.2500 0.7524 0.0019  8 Ta 2.82-2.93
Nb 0.2500 0.5539 0.4026  8 Ta 2.82-2.93
Nb 0.7500 0.2476 0.9981  8 Ta 2.82-2.93
Nb 0.2500 0.3409 0.7980  8 Ta 2.81-2.91
Nb 0.7500 0.6591 0.2020  8 Ta 2.81-2.91
Ta 0.7500 0.5427 0.8950  7 Nb 2.82-2.93, 1 Ta 2.87
Ta 0.7500 0.1473 0.6952  4 Nb 2.85-2.87, 3 Au 2.88-2.95, 2 Ta 2.91-3.18
Ta 0.2500 0.8527 0.3048  4 Nb 2.85-2.87, 3 Au 2.88-2.95, 2 Ta 2.91-3.18
Ta 0.7500 0.3668 0.3010  5 Nb 2.81-2.87, 1 Au 2.83, 2 Ta 2.93
Ta 0.7500 0.9482 0.0908  3 Ta 2.76-2.92, 1 Au 2.79, 4 Nb 2.82-2.86
Ta 0.2500 0.4573 0.1050  7 Nb 2.82-2.93, 1 Ta 2.87
Ta 0.2500 0.2445 0.5012  4 Nb 2.82-2.93, 1 Ta 2.86, 3 Au 2.86-2.99
Ta 0.7500 0.7555 0.4988  4 Nb 2.82-2.93, 1 Ta 2.86, 3 Au 2.86-2.99
Ta 0.2500 0.1541 0.2004  8 Ta 2.76-2.93
Ta 0.7500 0.8459 0.7996  8 Ta 2.76-2.93
Ta 0.2500 0.6332 0.6990  5 Nb 2.81-2.87, 1 Au 2.83, 2 Ta 2.93
Ta 0.2500 0.0518 0.9092  3 Ta 2.76-2.92, 1 Au 2.79, 4 Nb 2.82-2.86
Au 0.2500 0.9395 0.6151  8 Ta 2.79-2.99
Au 0.7500 0.0605 0.3849  8 Ta 2.79-2.99



3.
Ta2NbAu: optimized geometry, PBE.

E (eV for the cell shown): -37.1
DFT formation energy (eV per atom): -0.02

Cell: 3.6626 4.4217 4.4217 Å, 90.00 90.00 90.00°
With the nearest neighbours (Å) after each atom.
Positions (direct):
Au 0.5000 0.0000 0.0000  8 Ta 2.87, 4 Nb 3.13
Ta 0.0000 0.5000 0.0000  4 Nb 2.87, 4 Au 2.87, 4 Ta 3.13
Ta 0.0000 0.0000 0.5000  4 Nb 2.87, 4 Au 2.87, 4 Ta 3.13
Nb 0.5000 0.5000 0.5000  8 Ta 2.87, 4 Au 3.13



4.
Ta2Nb6Au: optimized geometry, PBE.

Offset from the most stable computed form (meV per atom): 525
E (eV for the cell shown): -81.8
DFT formation energy (eV per atom): 0.62

Cell: 4.5535 4.5535 8.6911 Å, 90.00 90.00 90.00°
With the nearest neighbours (Å) after each atom.
Positions (direct):
Nb 0.0000 0.0000 0.5000  8 Nb 2.82
Nb 0.0000 0.5000 0.3081  2 Ta 2.69, 4 Nb 2.82
Nb 0.5000 0.0000 0.6919  2 Ta 2.69, 4 Nb 2.82
Nb 0.5000 0.0000 0.3081  2 Ta 2.69, 4 Nb 2.82
Nb 0.0000 0.5000 0.6919  2 Ta 2.69, 4 Nb 2.82
Nb 0.5000 0.5000 0.5000  8 Nb 2.82, 2 Ta 3.09
Ta 0.5000 0.5000 0.1443  1 Ta 2.51, 4 Nb 2.69
Ta 0.5000 0.5000 0.8557  1 Ta 2.51, 4 Nb 2.69
Au 0.0000 0.0000 0.0000  8 Ta 3.46, 8 Nb 3.51



Which value of E does entry 1 give? -91.9 eV for the cell shown



What is the formula in the third record? Ta2NbAu



Look up the E of the fourth one. -81.8 eV for the cell shown